Density functional theory data (SCAN) for KMg2Ga2 at its PBEsol-relaxed geometry.

- E_form (eV/atom) = -0.09
- excess energy over the best structure of this formula in the dataset (eV per formula unit) = 0.00

The structure in POSCAR format:
```
KMg2Ga2
1.0
-2.4048 2.4048 5.4173
2.4048 -2.4048 5.4173
2.4048 2.4048 -5.4173
K Mg Ga
1 2 2
direct
0.0000 0.0000 0.0000
0.2500 0.7500 0.5000
0.7500 0.2500 0.5000
0.3867 0.3867 0.0000
0.6133 0.6133 0.0000
```

Density functional theory data (SCAN) for Mn3BeC at its PBEsol-relaxed geometry.

- E_form (eV/atom) = -0.04

The structure in POSCAR format:
```
Mn3BeC
1.0
3.7091 0.0000 0.0000
0.0000 3.7091 0.0000
0.0000 0.0000 3.7091
Mn Be C
3 1 1
direct
0.0000 0.0000 0.5000
0.0000 0.5000 0.0000
0.5000 0.0000 0.0000
0.5000 0.5000 0.5000
0.0000 0.0000 0.0000
```

Density functional theory data (SCAN) for CsTlTcNi2 at its PBEsol-relaxed geometry.

- E_form (eV/atom) = 1.43

The structure in POSCAR format:
```
CsTlTcNi2
1.0
4.6278 0.0000 0.0000
0.0000 4.6278 0.0000
0.0000 0.0000 5.4950
Cs Tl Tc Ni
1 1 1 2
direct
0.0000 0.0000 0.0000
0.5000 0.5000 0.0000
0.0000 0.0000 0.5000
0.0000 0.5000 0.5000
0.5000 0.0000 0.5000
```

Density functional theory data (SCAN) for YErAl6B8O24 at its PBEsol-relaxed geometry.

- total energy (eV per atom) = -11.48

The structure in POSCAR format:
```
YErAl6B8O24
1.0
5.8792 0.0000 0.0000
0.0000 9.2981 0.0000
-2.9317 0.0000 6.5661
Y Er Al B O
1 1 6 8 24
direct
0.0000 0.0000 0.0000
0.5000 0.4996 0.5000
0.0000 0.5556 0.0000
0.1670 0.7218 0.7219
0.3336 0.2224 0.7774
0.5000 0.0551 0.5000
0.6664 0.2224 0.2226
0.8330 0.7218 0.2781
0.0000 0.9999 0.5000
0.0000 0.4436 0.5000
0.1657 0.2788 0.2225
0.3350 0.7773 0.2789
0.5000 0.4998 0.0000
0.5000 0.9433 0.0000
0.6650 0.7773 0.7211
0.8343 0.2788 0.7775
0.0000 0.5920 0.5000
0.0000 0.8509 0.5000
0.0496 0.2006 0.8288
0.1114 0.7040 0.2037
0.1782 0.4256 0.2061
0.2234 0.0745 0.5742
0.2263 0.3759 0.5944
0.2749 0.8752 0.9035
0.2764 0.5742 0.9252
0.3255 0.9242 0.2955
0.3877 0.2036 0.2959
0.4509 0.6977 0.6697
0.5000 0.0919 0.0000
0.5000 0.3509 0.0000
0.5491 0.6977 0.3303
0.6123 0.2036 0.7041
0.6745 0.9242 0.7045
0.7236 0.5742 0.0748
0.7251 0.8752 0.0965
0.7737 0.3759 0.4056
0.7766 0.0745 0.4258
0.8218 0.4256 0.7939
0.8886 0.7040 0.7962
0.9504 0.2006 0.1712
```

Density functional theory data (SCAN) for CuAsSe3 at its PBEsol-relaxed geometry.

- total energy (eV per atom) = -18.50

The structure in POSCAR format:
```
CuAsSe3
1.0
4.6632 0.0000 0.0000
0.0000 4.6632 0.0000
0.0000 0.0000 4.6632
Cu As Se
1 1 3
direct
0.0000 0.0000 0.0000
0.5000 0.5000 0.5000
0.0000 0.0000 0.5000
0.0000 0.5000 0.0000
0.5000 0.0000 0.0000
```

Density functional theory data (SCAN) for KNbTcAg2 at its PBEsol-relaxed geometry.

- E_form (eV/atom) = 2.37

The structure in POSCAR format:
```
KNbTcAg2
1.0
4.8035 0.0000 0.0000
0.0000 4.8035 0.0000
0.0000 0.0000 4.6434
K Nb Tc Ag
1 1 1 2
direct
0.0000 0.0000 0.0000
0.5000 0.5000 0.5000
0.0000 0.0000 0.5000
0.0000 0.5000 0.0000
0.5000 0.0000 0.0000
```

Density functional theory data (SCAN) for AgHg2Ru at its PBEsol-relaxed geometry.

- E_form (eV/atom) = 0.46
- excess energy over the best structure of this formula in the dataset (eV per formula unit) = 0.25

The structure in POSCAR format:
```
AgHg2Ru
1.0
1.4545 0.8398 9.7069
-1.4545 0.8398 9.7069
0.0000 -1.6795 9.7069
Ag Hg Ru
1 2 1
direct
0.0000 0.0000 0.0000
0.5120 0.5120 0.5120
0.7512 0.7512 0.7512
0.2573 0.2573 0.2573
```

Density functional theory data (SCAN) for Mg2CrP at its PBEsol-relaxed geometry.

- E_form (eV/atom) = -0.18

The structure in POSCAR format:
```
Mg2CrP
1.0
3.4650 0.0000 0.0000
0.0000 1.9597 5.2209
0.0000 -1.9597 5.2209
Mg Cr P
2 1 1
direct
0.0000 0.0000 0.0000
0.5000 0.3157 0.3157
0.0000 0.7143 0.7143
0.5000 0.5769 0.5769
```